# 1
This record from the Open Quantum Materials Database describes a relaxed structure of Sm2HoSb3. The functional is PBE.

```
6
Lattice="4.434 0.000 0.000 -2.217 3.840 0.000 0.000 0.000 10.860" Properties=species:S:1:pos:R:3 pbc="T T T"
Sm 0.000 2.560 3.591
Sm 2.217 1.280 7.269
Ho 0.000 0.000 0.000
Sb 0.000 0.000 5.430
Sb 0.000 2.560 9.114
Sb 2.217 1.280 1.746
```

Summary:
Electronic total energy ... -5.5517 eV/atom
Total magnetization ... 0.0002 μB/atom
Calculated density ... 7.46 g cm⁻³

# 2
This record from the Open Quantum Materials Database describes a relaxed structure of SmHoZr2Sb2. The functional is PBE.

```
12
Lattice="4.292 0.000 0.000 0.000 4.292 0.000 0.000 0.000 16.742" Properties=species:S:1:pos:R:3 pbc="T T T"
Sm 0.000 0.000 0.000
Sm 2.146 2.146 8.371
Ho 0.000 0.000 5.927
Ho 2.146 2.146 14.298
Zr 0.000 2.146 2.993
Zr 0.000 2.146 11.364
Zr 2.146 0.000 2.993
Zr 2.146 0.000 11.364
Sb 0.000 0.000 9.151
Sb 0.000 0.000 13.564
Sb 2.146 2.146 0.780
Sb 2.146 2.146 5.193
```

Summary:
Electronic total energy ... -6.5761 eV/atom
Total magnetization ... 0.0132 μB/atom
Calculated density ... 7.98 g cm⁻³

# 3
This record from the Open Quantum Materials Database describes a relaxed structure of SrHoSb. The functional is PBE.

```
12
Lattice="7.578 0.000 0.000 0.000 7.578 0.000 0.000 0.000 7.578" Properties=species:S:1:pos:R:3 pbc="T T T"
Sr 0.000 0.000 0.000
Sr 0.000 3.789 3.789
Sr 3.789 0.000 3.789
Sr 3.789 3.789 0.000
Ho 1.895 1.895 5.684
Ho 1.895 5.684 1.895
Ho 5.684 1.895 1.895
Ho 5.684 5.684 5.684
Sb 0.000 0.000 3.789
Sb 0.000 3.789 0.000
Sb 3.789 0.000 0.000
Sb 3.789 3.789 3.789
```

Summary:
Electronic total energy ... -3.4715 eV/atom
Total magnetization ... 0.1555 μB/atom
Calculated density ... 5.71 g cm⁻³

# 4
This record from the Open Quantum Materials Database describes a relaxed structure of Tb3HoSb4. The functional is PBE.

```
8
Lattice="6.208 0.000 0.000 0.000 6.208 0.000 0.000 0.000 6.208" Properties=species:S:1:pos:R:3 pbc="T T T"
Tb 0.000 0.000 3.104
Tb 0.000 3.104 0.000
Tb 3.104 0.000 0.000
Ho 3.104 3.104 3.104
Sb 0.000 0.000 0.000
Sb 0.000 3.104 3.104
Sb 3.104 0.000 3.104
Sb 3.104 3.104 0.000
```

Summary:
Electronic total energy ... -5.5083 eV/atom
Total magnetization ... 0.0002 μB/atom
Calculated density ... 7.84 g cm⁻³